Material: In4Hg2H3
Method: DFT, PBE
State: optimized geometry

Computed properties:
* electronic total energy: -2.20 eV per atom
* total magnetization: 0.0 Bohr magnetons per cell

Cell: 4.802 6.750 6.977 Å, 113.33 104.37 102.76°
Atoms (fractional coordinates):
In 0.119 0.239 0.313
In 0.363 0.669 0.972
In 0.637 0.331 0.028
In 0.881 0.761 0.687
Hg 0.169 0.813 0.368
Hg 0.831 0.187 0.632
H 0.314 0.150 0.087
H 0.500 0.500 0.500
H 0.686 0.850 0.913